Record 1
PBE-GGA TcSbCl2, optimized geometry; offset from the most stable computed form = 284 meV per atom; space-group type = No. 166; formation energy without anion corrections = 0.06 eV/atom; energy = -4.49 eV/atom
1.0
1.886 0.000 10.882
-0.943 1.634 10.882
-0.943 -1.634 10.882
Cl Tc Sb
2 1 1
Cartesian
0.000 0.000 3.886
0.000 0.000 28.761
0.000 0.000 16.323
0.000 0.000 0.000



Record 2
PBE-GGA CrRuPt2, optimized geometry; formation enthalpy at 0 K = 931 meV/atom; space-group type = No. 122; energy = -6.81 eV/atom
1.0
-1.821 4.271 -3.098
-2.475 -3.586 -3.488
-6.619 0.569 -0.354
Pt Ru Cr
4 2 2
Cartesian
-6.612 0.630 -2.787
-3.456 -1.502 -2.702
-8.686 1.078 -5.977
-3.075 2.300 -2.415
0.000 0.000 0.000
-5.294 2.591 -3.373
-2.148 0.342 -3.293
-5.621 -1.338 -3.568



Record 3
PBE-GGA Ho3TmSc2S6, optimized geometry; space-group type = No. 12; formation energy without anion corrections = -1.93 eV/atom; energy = -6.56 eV/atom
1.0
6.609 -0.013 -0.001
-3.314 5.718 -0.001
-1.100 -1.904 6.241
Ho S Tm Sc
3 6 1 2
Cartesian
-2.227 3.821 3.120
1.098 1.901 3.120
4.423 -0.020 3.120
-1.122 1.937 1.498
2.239 -0.004 1.498
-0.043 3.806 4.742
3.318 1.864 4.742
0.018 0.032 4.756
2.177 3.770 1.484
0.000 0.000 0.000
3.305 1.896 -0.001
-0.009 3.810 -0.001



Record 4
PBE-GGA LaAl4Ag2Pt, optimized geometry; formation enthalpy at 0 K = -460 meV/atom; space-group type = No. 166; energy = -4.41 eV/atom
1.0
-1.745 -0.278 -4.035
-0.052 -3.863 -2.116
-8.841 -3.294 1.647
Al Pt La Ag
4 1 1 2
Cartesian
-3.000 -3.179 -3.292
-5.518 -2.522 0.157
-5.120 -4.912 -4.660
-7.639 -4.256 -1.211
-5.319 -3.717 -2.251
0.000 0.000 0.000
-2.799 -1.891 -1.063
-7.839 -5.544 -3.440



Record 5
PBE-GGA Ti5GaS, optimized geometry; space-group type = No. 15; formation energy without anion corrections = -0.40 eV/atom; energy = -7.07 eV/atom
1.0
-5.153 -0.143 -1.744
-2.140 -4.966 -0.616
-5.163 -1.447 7.603
S Ti Ga
2 10 2
Cartesian
-2.582 -0.723 3.802
0.000 0.000 0.000
-7.056 -3.289 -0.943
-6.231 -5.702 5.005
-6.226 -0.853 0.238
-8.479 -5.867 3.293
-5.401 -3.267 6.186
-3.378 -1.259 -0.725
-5.077 -3.395 3.408
-3.978 -0.689 1.950
-7.380 -3.160 1.836
-9.079 -5.297 5.968
-4.782 -3.165 0.779
-7.675 -3.391 4.464



Record 6
PBE-GGA Hf2H2W, optimized geometry; space-group type = No. 139; energy = -8.17 eV/atom
1.0
3.304 0.000 0.000
0.000 3.304 0.000
1.652 1.652 5.902
Hf H W
2 2 1
Cartesian
1.652 1.652 1.659
3.304 3.304 4.243
1.652 3.304 2.951
3.304 1.652 2.951
0.000 0.000 0.000



Record 7
PBE-GGA ZrSiTe4, optimized geometry; space-group type = No. 112; formation energy without anion corrections = -0.23 eV/atom; energy = -4.65 eV/atom
1.0
6.499 0.000 0.000
0.000 6.499 0.000
0.000 0.000 10.852
Te Si Zr
8 2 2
Cartesian
4.647 1.618 6.742
4.881 4.647 4.110
4.647 4.881 9.536
1.618 4.647 1.316
4.881 1.852 1.316
1.852 4.881 6.742
1.852 1.618 9.536
1.618 1.852 4.110
0.000 3.250 2.713
3.250 0.000 8.139
0.000 0.000 0.000
0.000 0.000 5.426



Record 8
PBE-GGA SrMnTe, optimized geometry; offset from the most stable computed form = 209 meV per atom; space-group type = No. 107; formation energy without anion corrections = -0.20 eV/atom; energy = -4.87 eV/atom
1.0
-3.083 4.290 -3.562
-5.989 -0.192 -2.166
3.667 -0.773 5.153
Mn Sr Te
1 1 1
Cartesian
-0.292 0.132 -0.184
-3.009 1.360 -1.900
-5.770 2.607 -3.643



Record 9
PBE-GGA Nd6Ge2Te3Pt, optimized geometry; space-group type = No. 12; formation energy without anion corrections = -1.21 eV/atom; energy = -5.65 eV/atom
1.0
4.355 0.000 0.000
0.000 8.928 0.169
-2.177 -2.727 9.290
Nd Ge Te Pt
6 2 3 1
Cartesian
0.000 2.064 6.156
0.000 6.195 6.448
0.000 2.063 0.159
2.177 0.006 3.011
2.177 4.137 3.303
2.177 4.138 9.300
0.000 2.062 3.137
2.177 4.139 6.321
0.000 6.524 3.255
2.177 -0.323 6.204
2.177 4.464 0.085
2.177 0.000 0.000



Record 10
PBE-GGA CaSc2Ru, optimized geometry; formation enthalpy at 0 K = -1 meV/atom; offset from the most stable computed form = 287 meV per atom; space-group type = No. 225; energy = -5.99 eV/atom
1.0
-1.242 -2.225 4.181
-4.631 0.167 1.581
-2.770 -4.037 -0.103
Ru Ca Sc
1 1 2
Cartesian
-4.321 -3.047 2.829
0.000 0.000 0.000
-2.161 -1.524 1.415
-6.482 -4.571 4.244



Record 11
PBE-GGA HoErRu4, optimized geometry; formation enthalpy at 0 K = -326 meV/atom; space-group type = No. 216; energy = -8.03 eV/atom
1.0
5.317 0.000 0.000
2.659 4.605 0.000
2.659 1.535 4.341
Er Ru Ho
1 4 1
Cartesian
0.000 0.000 0.000
5.317 1.535 2.714
3.987 3.837 2.714
6.647 3.837 2.714
5.317 3.070 0.542
2.659 1.535 1.085



Record 12
PBE-GGA MgRe, optimized geometry; formation enthalpy at 0 K = 163 meV/atom; offset from the most stable computed form = 97 meV per atom; space-group type = No. 164; energy = -6.86 eV/atom
1.0
2.874 0.000 0.000
-1.437 2.489 0.000
0.000 0.000 9.488
Re Mg
2 2
Cartesian
0.000 1.659 2.208
0.000 0.000 0.164
0.000 1.659 7.272
0.000 0.000 4.588



What is the energy in the fourth record?
-4.41 eV/atom



Which formula does entry 1 have?
TcSbCl2



energy of number 10 (CaSc2Ru)?
-5.99 eV/atom